[1]
GGA-PBE PINCl2, relaxed; raw formation energy = 2.0267 eV per atom; E above lowest polymorph = 902 meV per atom; energy = -8.85 eV/cell; ρ = 2.7 g/cm³
1.0
5.212 0.000 0.000
0.000 5.212 0.000
0.000 0.000 5.460
P I N Cl
1 1 1 2
Direct
0.000 0.000 0.000
0.000 0.000 0.500
0.500 0.500 0.000
0.000 0.500 0.500
0.500 0.000 0.500

=====

[2]
GGA-PBE PIN2Cl, relaxed; raw formation energy = 1.2163 eV per atom; E above lowest polymorph = 0 meV per atom; energy = -19.38 eV/cell; ρ = 3.7 g/cm³
1.0
3.661 0.000 0.000
0.000 3.661 0.000
0.000 0.000 7.352
P I N Cl
1 1 2 1
Direct
0.000 0.000 0.000
0.000 0.000 0.500
0.000 0.500 0.000
0.500 0.000 0.000
0.500 0.500 0.500

=====

[3]
GGA-PBE PIN2Cl, relaxed; raw formation energy = 2.3041 eV per atom; E above lowest polymorph = 1088 meV per atom; energy = -13.94 eV/cell; ρ = 3.1 g/cm³
1.0
3.963 0.000 0.000
0.000 3.963 0.000
0.000 0.000 7.575
P I N Cl
1 1 2 1
Direct
0.000 0.000 0.000
0.500 0.500 0.000
0.000 0.500 0.500
0.500 0.000 0.500
0.500 0.500 0.500

=====

[4]
GGA-PBE PbI2NCl, relaxed; raw formation energy = 0.8374 eV per atom; E above lowest polymorph = 0 meV per atom; energy = -12.79 eV/cell; ρ = 4.7 g/cm³
1.0
6.210 0.000 0.000
0.000 6.210 0.000
0.000 0.000 4.724
Pb I N Cl
1 2 1 1
Direct
0.000 0.000 0.000
0.000 0.500 0.000
0.500 0.000 0.000
0.000 0.000 0.500
0.500 0.500 0.500

=====

[5]
GGA-PBE PbI2NCl, relaxed; raw formation energy = 0.8767 eV per atom; E above lowest polymorph = 39 meV per atom; energy = -12.60 eV/cell; ρ = 5.4 g/cm³
1.0
6.758 0.000 0.000
0.000 6.758 0.000
0.000 0.000 3.463
Pb I N Cl
1 2 1 1
Direct
0.000 0.000 0.000
0.000 0.500 0.500
0.500 0.000 0.500
0.500 0.500 0.000
0.500 0.500 0.500

=====

[6]
GGA-PBE PdIN2Cl, relaxed; raw formation energy = 2.0302 eV per atom; E above lowest polymorph = 620 meV per atom; energy = -15.09 eV/cell; ρ = 3.9 g/cm³
1.0
3.930 0.000 0.000
0.000 3.930 0.000
0.000 0.000 8.098
Pd I N Cl
1 1 2 1
Direct
0.000 0.000 0.000
0.500 0.500 0.000
0.000 0.500 0.500
0.500 0.000 0.500
0.500 0.500 0.500

=====

[7]
GGA-PBE PdIN2Cl, relaxed; raw formation energy = 1.4098 eV per atom; E above lowest polymorph = 0 meV per atom; energy = -18.19 eV/cell; ρ = 3.7 g/cm³
1.0
3.958 0.000 0.000
0.000 3.958 0.000
0.000 0.000 8.520
Pd I N Cl
1 1 2 1
Direct
0.000 0.000 0.000
0.000 0.000 0.500
0.000 0.500 0.000
0.500 0.000 0.000
0.500 0.500 0.500

=====

[8]
GGA-PBE Pr2INCl, relaxed; raw formation energy = -1.5823 eV per atom; energy = -58.39 eV/cell; ρ = 5.3 g/cm³
1.0
8.269 -2.046 0.000
8.269 2.046 0.000
-7.634 0.000 8.535
Pr I N Cl
4 2 2 2
Direct
0.094 0.094 0.307
0.373 0.373 0.944
0.627 0.627 0.056
0.906 0.906 0.693
0.327 0.327 0.391
0.673 0.673 0.609
0.446 0.446 0.827
0.554 0.554 0.173
0.135 0.135 0.865
0.865 0.865 0.135

=====

[9]
GGA-PBE PtIN2Cl, relaxed; raw formation energy = 1.1628 eV per atom; E above lowest polymorph = 0 meV per atom; energy = -20.27 eV/cell; ρ = 4.8 g/cm³
1.0
3.851 0.000 0.000
0.000 3.851 0.000
0.000 0.000 8.934
Pt I N Cl
1 1 2 1
Direct
0.000 0.000 0.000
0.000 0.000 0.500
0.000 0.500 0.000
0.500 0.000 0.000
0.500 0.500 0.500

=====

[10]
GGA-PBE PtIN2Cl, relaxed; raw formation energy = 2.2127 eV per atom; E above lowest polymorph = 1050 meV per atom; energy = -15.03 eV/cell; ρ = 5.5 g/cm³
1.0
3.772 0.000 0.000
0.000 3.772 0.000
0.000 0.000 8.202
Pt I N Cl
1 1 2 1
Direct
0.000 0.000 0.000
0.500 0.500 0.000
0.000 0.500 0.500
0.500 0.000 0.500
0.500 0.500 0.500

=====

[11]
GGA-PBE RbIN2Cl, relaxed; raw formation energy = 1.5000 eV per atom; E above lowest polymorph = 0 meV per atom; energy = -13.52 eV/cell; ρ = 2.4 g/cm³
1.0
5.687 0.000 0.000
0.000 5.687 0.000
0.000 0.000 5.819
Rb I N Cl
1 1 2 1
Direct
0.000 0.000 0.000
0.500 0.500 0.000
0.000 0.500 0.500
0.500 0.000 0.500
0.500 0.500 0.500

=====

[12]
GGA-PBE RbI2NCl, relaxed; raw formation energy = 0.9291 eV per atom; E above lowest polymorph = 552 meV per atom; energy = -9.59 eV/cell; ρ = 2.2 g/cm³
1.0
7.016 0.000 0.000
0.000 7.016 0.000
0.000 0.000 6.044
Rb I N Cl
1 2 1 1
Direct
0.000 0.000 0.000
0.000 0.500 0.000
0.500 0.000 0.000
0.000 0.000 0.500
0.500 0.500 0.500

=====

Magnetic moment per entry: 0.00, 0.66, 3.42, 3.33, 0.62, 3.18, 2.84, 0.00, 0.00, 0.00, 6.03, 5.01 μB per formula unit